Entry 1:
The following is a DFT calculation (PBE) of crystalline Pm5InHg3 at its relaxed geometry.

a = 9.4040 Å, b = 9.4040 Å, c = 6.7709 Å
α = 90.00°, β = 90.00°, γ = 120.00°
Last column: nearest neighbours and their distance in Å.
Space group P6_3/mcm (No. 193)
Inequivalent atoms, fractional coordinates:
Pm1 0.0000 0.2964 0.2500  5 Hg 3.15-3.45, 2 In 3.26
Pm2 0.3333 0.6667 0.0000  8 Pm 3.39-3.73, 6 Hg 3.43
In1 0.0000 0.0000 0.0000  6 Pm 3.26, 2 In 3.39
Hg1 0.0000 0.3684 0.7500  9 Pm 3.15-3.45

Output
The calculation puts the mass density at 9.232 g/cm³. The total energy is -3.43 eV/atom. The value obtained for the calculated volume is 519 Å³ per cell. For the energy of formation from the pure elements, the calculation gives -0.39 eV per atom.

Entry 2:
The following is a DFT calculation (PBE) of crystalline PmIn5Hg8 at its relaxed geometry.

a = 14.5027 Å, b = 7.5861 Å, c = 8.6088 Å
α = 90.00°, β = 125.56°, γ = 90.00°
Last column: nearest neighbours and their distance in Å.
Space group C2 (No. 5)
Inequivalent atoms, fractional coordinates:
Pm1 0.0000 0.0000 0.0000  8 Hg 3.16-3.32, 4 In 3.40-3.51
In1 0.0000 0.6321 0.5000  6 Hg 3.11-3.27, 2 In 3.28
In2 0.0729 0.3031 0.7977  5 Hg 3.07-3.37, 2 In 3.18-3.28, 1 Pm 3.40
In3 0.1197 0.0323 0.4892  3 Hg 3.00-3.25, 1 In 3.18
Hg1 0.0711 0.6314 0.2223  3 Hg 3.04-3.20, 2 In 3.11-3.19, 1 Pm 3.20
Hg2 0.1567 0.8790 0.8738  2 Hg 3.08-3.19, 1 Pm 3.17, 4 In 3.24-3.37
Hg3 0.1877 0.2876 0.2488  2 In 3.00-3.22, 3 Hg 3.04-3.13, 1 Pm 3.16
Hg4 0.2297 0.3955 0.6783  4 In 3.07-3.40, 3 Hg 3.13-3.20, 1 Pm 3.32

Output
The calculation puts the mass density at 10.016 g/cm³. The total energy is -1.56 eV/atom. The value obtained for the calculated volume is 770 Å³ per cell. For the energy of formation from the pure elements, the calculation gives -0.07 eV per atom.

Entry 3:
The following is a DFT calculation (PBE) of crystalline Pm3In3Hg2 at its relaxed geometry.

a = 18.5250 Å, b = 4.7580 Å, c = 5.0672 Å
α = 90.00°, β = 105.84°, γ = 90.00°
Last column: nearest neighbours and their distance in Å.
Space group C2/m (No. 12)
Inequivalent atoms, fractional coordinates:
Pm1 0.0000 0.0000 0.0000  8 In 3.32-3.48, 4 Pm 3.57-3.58
Pm2 0.1416 0.0000 0.6403  4 Hg 3.12-3.13, 6 In 3.47-3.49
In1 0.0000 0.5000 0.5000  4 In 3.43, 8 Pm 3.47-3.48
In2 0.1298 0.5000 0.1299  4 Hg 3.14-3.39, 6 Pm 3.32-3.49, 2 In 3.43
Hg1 0.2444 0.0000 0.2433  4 Pm 3.12-3.13, 4 In 3.14-3.39, 4 Hg 3.47-3.49

Output
The calculation puts the mass density at 9.126 g/cm³. The total energy is -3.33 eV/atom. The value obtained for the calculated volume is 430 Å³ per cell. The value obtained for the energy above the most stable polymorph in this dataset is 0.0165 eV/atom. For the energy of formation from the pure elements, the calculation gives -0.44 eV per atom.

calculated volume of number 2 (PmIn5Hg8)?
770 Å³ per cell